4
Lattice="3.7158 0.0000 0.0000 0.0000 3.7158 0.0000 0.0000 0.0000 3.9126" Properties=species:S:1:pos:R:3 comment="PBE LiNi2Hg, relaxed" n_ef_per_ev_cell=2.99 energy_ev_per_atom=-3.423 delta_e_f_ev_per_atom=0.022 pbc="T T T"
Li 0.0000 0.0000 0.0000
Ni 0.0000 1.8579 1.9563
Ni 1.8579 0.0000 1.9563
Hg 1.8579 1.8579 0.0000